# 1
DFT (SCAN) results for a crystal of GaTcAs2Br relaxed with PBEsol.

a b c (Å): 4.6727 4.6727 5.4836
angles (deg): 90.00 90.00 90.00
Last column: nearest neighbours and their distance in Å.
Space group P4/mmm (No. 123)
Unique sites:
Ga  0.0000  0.0000  0.0000 x1  4 Br 3.30, 8 As 3.60
Tc  0.5000  0.5000  0.5000 x1  4 As 2.34
As  0.0000  0.5000  0.5000 x2  2 Tc 2.34
Br  0.5000  0.5000  0.0000 x1  2 Tc 2.74

Properties
The raw formation energy is 0.304 eV per atom. The value obtained for the calculated total energy is -109.72 eV per cell.

# 2
DFT (SCAN) results for a crystal of GeAsHBr2 relaxed with PBEsol.

a b c (Å): 5.1302 5.1302 3.5259
angles (deg): 90.00 90.00 90.00
Last column: nearest neighbours and their distance in Å.
Space group P4/mmm (No. 123)
Unique sites:
Ge  0.0000  0.0000  0.0000 x1  8 Br 3.11
As  0.5000  0.5000  0.0000 x1  2 H 1.76
H  0.5000  0.5000  0.5000 x1  2 As 1.76
Br  0.0000  0.5000  0.5000 x2  2 H 2.57

Properties
The value obtained for the calculated total energy is -79.11 eV per cell.

# 3
DFT (SCAN) results for a crystal of HfGeAs2Br relaxed with PBEsol.

a b c (Å): 4.9081 4.9081 4.8438
angles (deg): 90.00 90.00 90.00
Last column: nearest neighbours and their distance in Å.
Space group P4/mmm (No. 123)
Unique sites:
Hf  0.0000  0.0000  0.0000 x1  8 As 3.45, 4 Ge 3.47
Ge  0.5000  0.5000  0.0000 x1  2 Br 2.42
As  0.0000  0.5000  0.5000 x2  2 Br 2.45
Br  0.5000  0.5000  0.5000 x1  2 Ge 2.42, 4 As 2.45

Properties
The raw formation energy is 1.171 eV per atom. The value obtained for the calculated total energy is -135.75 eV per cell.

# 4
DFT (SCAN) results for a crystal of GeAs2IrBr relaxed with PBEsol.

a b c (Å): 4.7003 4.7003 5.2634
angles (deg): 90.00 90.00 90.00
Last column: nearest neighbours and their distance in Å.
Space group P4/mmm (No. 123)
Unique sites:
Ge  0.0000  0.0000  0.0000 x1  4 Br 3.32, 8 As 3.53
As  0.0000  0.5000  0.5000 x2  2 Ir 2.35
Ir  0.5000  0.5000  0.5000 x1  4 As 2.35, 2 Br 2.63
Br  0.5000  0.5000  0.0000 x1  2 Ir 2.63

Properties
The raw formation energy is 0.660 eV per atom. The value obtained for the calculated total energy is -146.73 eV per cell.

# 5
DFT (SCAN) results for a crystal of MnGeAsBr2 relaxed with PBEsol.

a b c (Å): 5.0705 5.0705 5.1283
angles (deg): 90.00 90.00 90.00
Last column: nearest neighbours and their distance in Å.
Space group P4/mmm (No. 123)
Unique sites:
Mn  0.0000  0.0000  0.0000 x1  4 As 3.59, 8 Br 3.61
Ge  0.5000  0.5000  0.5000 x1  4 Br 2.54, 2 As 2.56
As  0.5000  0.5000  0.0000 x1  2 Ge 2.56
Br  0.0000  0.5000  0.5000 x2  2 Ge 2.54

Properties
The raw formation energy is 0.283 eV per atom. The value obtained for the calculated total energy is -95.04 eV per cell.

# 6
DFT (SCAN) results for a crystal of MnGeAs2Br relaxed with PBEsol.

a b c (Å): 4.5541 4.5541 5.1219
angles (deg): 90.00 90.00 90.00
Last column: nearest neighbours and their distance in Å.
Space group P4/mmm (No. 123)
Unique sites:
Mn  0.0000  0.0000  0.0000 x1  4 As 2.28
Ge  0.5000  0.5000  0.5000 x1  4 Br 3.22, 8 As 3.43
As  0.0000  0.5000  0.0000 x2  2 Mn 2.28
Br  0.0000  0.0000  0.5000 x1  2 Mn 2.56

Properties
The raw formation energy is 0.384 eV per atom. The value obtained for the calculated total energy is -95.26 eV per cell.

Q: Number 2 is which compound?
A: GeAsHBr2